The following is a DFT calculation (PBE) of ScBeBr3 after structural relaxation.

Values from the calculation:
Uncorrected formation energy   -11.7 kcal/mol of atoms
D(E_F)   2.6 states/eV per cell
E above lowest polymorph   0 meV per atom

Lattice parameters (Å, degrees): 5.3257 5.3257 5.3257 90.00 90.00 90.00
Positions (direct):
Sc 0.0000 0.0000 0.0000
Be 0.5000 0.5000 0.5000
Br 0.0000 0.0000 0.5000
Br 0.0000 0.5000 0.0000
Br 0.5000 0.0000 0.0000